The following is a DFT calculation (PBE-GGA) of a geometry-optimized BaMoAs3 structure.

## Properties
energy above the most stable polymorph in this dataset	205.1	kJ/mol of atoms
spin magnetization	3.3	μB/f.u.
energy of formation	9.03	eV/f.u.
electronic total energy	-0.130	hartree per atom

abc: 5.7162 5.7162 5.7162
angles: 90.00 90.00 90.00
Last column: nearest neighbours and their distance in Å.
Sites, in units of the cell vectors:
Ba (0.0000, 0.0000, 0.0000)  6 As 2.86
Mo (0.5000, 0.5000, 0.5000)  12 As 4.04
As (0.0000, 0.0000, 0.5000)  2 Ba 2.86
As (0.0000, 0.5000, 0.0000)  2 Ba 2.86
As (0.5000, 0.0000, 0.0000)  2 Ba 2.86